Density functional theory data (PBE-GGA) for an optimized crystal structure of Tb4Pr7Sc.

```
Tb4Pr7Sc
1.0
-4.165 -4.288 0.072
2.811 -7.005 -6.303
3.378 -7.396 3.132
Pr Tb Sc
7 4 1
Direct
0.500 0.000 0.000 Pr
0.798 0.218 0.186 Pr
0.206 0.127 0.460 Pr
0.921 0.432 0.726 Pr
0.794 0.873 0.540 Pr
0.202 0.782 0.814 Pr
0.079 0.568 0.274 Pr
0.325 0.398 0.951 Tb
0.574 0.304 0.548 Tb
0.675 0.602 0.049 Tb
0.426 0.696 0.452 Tb
0.000 0.000 0.000 Sc
```

The size of the total moment comes out at 0.05 μB per formula unit. As for the total energy: -0.171 hartree per atom. The calculation puts the density of states at the Fermi level at 18.8 states/eV/f.u. Its formation energy from the elements is 0.209 eV/atom. As for the polymorph energy (0 for the lowest one): 17.5 kJ per mole of atoms.